1.
VASP calculation (PBE) on Ba2GaSn3Pt4 after structural relaxation.

## Properties
E_tot (eV per atom): -5.08
Crystal system: tetragonal
SG: P-4m2 (115)

Lattice parameters (Å, degrees): 4.7538 4.7538 10.6992 90.00 90.00 90.00
Last column: nearest neighbours and their distance in Å.
Positions (direct):
Ba 0.5000 0.0000 0.2514  2 Ga 3.57, 6 Sn 3.57-3.63, 9 Pt 3.59-3.94
Ba 0.0000 0.5000 0.7486  2 Ga 3.57, 6 Sn 3.57-3.63, 9 Pt 3.59-3.94
Pt 0.0000 0.5000 0.3806  2 Ga 2.70, 3 Sn 2.70-2.75
Pt 0.5000 0.5000 0.0000  4 Sn 2.72
Pt 0.5000 0.0000 0.6194  2 Ga 2.70, 3 Sn 2.70-2.75
Pt 0.0000 0.0000 0.0000  4 Sn 2.72
Sn 0.0000 0.5000 0.1237  5 Pt 2.72-2.75
Sn 0.5000 0.0000 0.8763  5 Pt 2.72-2.75
Sn 0.0000 0.0000 0.5000  4 Pt 2.70
Ga 0.5000 0.5000 0.5000  4 Pt 2.70

2.
VASP calculation (PBE) on Mg2Ag2Hg after structural relaxation.

## Properties
Energy relative to the lowest polymorph listed for this composition (meV/atom): 111.7
Crystal system: tetragonal
SG: I4/mmm (139)

Lattice parameters (Å, degrees): 3.8483 3.8483 7.8331 75.78 75.78 90.00
Last column: nearest neighbours and their distance in Å.
Positions (direct):
Mg 0.3965 0.3965 0.2071  4 Ag 2.89, 1 Mg 3.04, 4 Hg 3.12
Mg 0.6035 0.6035 0.7929  4 Ag 2.89, 1 Mg 3.04, 4 Hg 3.12
Ag 0.2500 0.7500 0.5000  4 Ag 2.72, 4 Mg 2.89
Ag 0.7500 0.2500 0.5000  4 Ag 2.72, 4 Mg 2.89
Hg 0.0000 0.0000 0.0000  8 Mg 3.12

Computed values of total magnetic moment (unit: Bohr magnetons per cell) for the preceding records, in sequence: 0.00; 0.00.